1.
VASP calculation (PBE) on a relaxed Pa2ZnW crystal.

## Properties
As for the energy above the most stable polymorph in this dataset: 0.5 meV per atom. The calculation puts the total magnetization at 0.000 μB/atom. The calculation puts the total energy at -32.403 eV/cell. As for the formation enthalpy at 0 K: 203.9 meV per atom. As for the space group: P4/mmm, No. 123.

```
Pa2ZnW
1.0
-1.9792 -1.6746 -2.2648
-0.9379 -2.2183 2.4598
-5.6887 4.3506 1.7545
W Pa Zn
1 2 1
Direct
0.5000 0.5000 0.0000
0.0000 0.0000 0.7645
0.0000 0.0000 0.2355
0.5000 0.5000 0.5000
```


2.
VASP calculation (PBE) on a relaxed Pa2ZnW crystal.

## Properties
As for the energy above the most stable polymorph in this dataset: 0.0 meV per atom. The calculation puts the total magnetization at 0.000 μB/atom. The calculation puts the total energy at -32.405 eV/cell. As for the formation enthalpy at 0 K: 203.4 meV per atom. As for the space group: P4/mmm, No. 123.

```
Pa2ZnW
1.0
-2.1976 1.9395 3.0145
-1.9979 -3.8263 1.0053
3.2070 -0.9070 2.9215
Pa W Zn
2 1 1
Direct
0.0000 0.0000 0.5000
0.0000 0.5000 0.0000
0.5000 0.0000 0.0000
0.5000 0.5000 0.5000
```


3.
VASP calculation (PBE) on a relaxed Pa2ZnW crystal.

## Properties
As for the energy above the most stable polymorph in this dataset: 301.3 meV per atom. The calculation puts the total magnetization at 0.000 μB/atom. The calculation puts the total energy at -31.200 eV/cell. As for the formation enthalpy at 0 K: 504.7 meV per atom. As for the space group: R-3m, No. 166.

```
Pa2ZnW
1.0
3.0078 0.0000 0.0000
1.5039 2.6048 0.0000
1.5039 0.8683 11.3595
W Zn Pa
1 1 2
Direct
0.5000 0.5000 0.5000
0.0000 0.0000 0.0000
0.9089 0.9089 0.2734
0.0911 0.0911 0.7266
```


4.
VASP calculation (PBE) on a relaxed Zr2PaW crystal.

## Properties
The calculation puts the total magnetization at 0.000 μB/atom. The calculation puts the total energy at -37.909 eV/cell. As for the formation enthalpy at 0 K: 409.2 meV per atom. As for the space group: R-3m, No. 166.

```
Zr2PaW
1.0
-0.6629 -1.9417 -2.4083
-0.3108 -3.1066 0.5121
-10.3845 -0.3916 1.0960
Pa W Zr
1 1 2
Direct
0.0000 0.0000 0.0000
0.5000 0.5000 0.5000
0.9021 0.9021 0.2937
0.0979 0.0979 0.7063
```


5.
VASP calculation (PBE) on a relaxed Y3Pa crystal.

## Properties
As for the energy above the most stable polymorph in this dataset: 13.1 meV per atom. The calculation puts the total magnetization at 0.147 μB/atom. The calculation puts the total energy at -28.019 eV/cell. As for the formation enthalpy at 0 K: 217.3 meV per atom. As for the space group: Pmm2, No. 25.

```
Y3Pa
1.0
-0.0955 2.7156 -2.1171
2.1383 -3.1986 -4.1993
-5.7216 -1.5513 -1.7319
Pa Y
1 3
Direct
0.0000 0.0000 0.0020
0.0000 0.5000 0.3164
0.5000 0.5000 0.8332
0.5000 0.0000 0.5151
```


6.
VASP calculation (PBE) on a relaxed Y3Pa crystal.

## Properties
As for the energy above the most stable polymorph in this dataset: 0.0 meV per atom. The calculation puts the total magnetization at 0.004 μB/atom. The calculation puts the total energy at -28.071 eV/cell. As for the formation enthalpy at 0 K: 204.2 meV per atom. As for the space group: Imm2, No. 44.

```
Y3Pa
1.0
3.4770 0.0000 0.0000
0.0000 6.1071 0.0000
-1.7385 -3.0536 5.6951
Y Pa
3 1
Direct
0.2568 0.5944 0.5136
0.5000 0.4990 0.0000
0.7432 0.0808 0.4864
0.0000 0.9925 0.0000
```


7.
VASP calculation (PBE) on a relaxed Y4Pa crystal.

## Properties
The calculation puts the total magnetization at 0.204 μB/atom. The calculation puts the total energy at -31.273 eV/cell. As for the formation enthalpy at 0 K: 815.8 meV per atom. As for the space group: Pm-3m, No. 221.

```
Y4Pa
1.0
5.6290 0.0000 0.0000
0.0000 5.6290 0.0000
0.0000 0.0000 5.6290
Y Pa
4 1
Direct
0.0000 0.5000 0.5000
0.5000 0.5000 0.0000
0.0000 0.0000 0.0000
0.5000 0.0000 0.5000
0.5000 0.5000 0.5000
```


8.
VASP calculation (PBE) on a relaxed Y5Pa crystal.

## Properties
The calculation puts the total magnetization at 0.000 μB/atom. The calculation puts the total energy at -40.447 eV/cell. As for the formation enthalpy at 0 K: 228.2 meV per atom. As for the space group: Cmmm, No. 65.

```
Y5Pa
1.0
3.5649 0.0000 0.0000
0.0000 5.8469 0.0000
0.0000 -2.9234 8.9483
Y Pa
5 1
Direct
0.0000 0.3228 0.6456
0.5000 0.8493 0.6987
0.0000 0.6772 0.3544
0.5000 0.5000 0.0000
0.5000 0.1507 0.3013
0.0000 0.0000 0.0000
```